Entry 1:
7
Lattice="2.371 1.369 9.589 -2.371 1.369 9.589 0.000 -2.738 9.589" Properties=species:S:1:pos:R:3 comment="La2PrTl2Zn2, relaxed, DFT PBE" sg=R-3m energy_ev_per_atom=-3.366 delta_e_f_ev_per_atom=-0.235 pbc="T T T"
La 0.000 0.000 3.995
La 0.000 0.000 24.773
Pr 0.000 0.000 0.000
Tl 0.000 0.000 7.713
Tl 0.000 0.000 21.055
Zn 0.000 0.000 12.023
Zn 0.000 0.000 16.744

=====

Entry 2:
3
Lattice="3.876 0.000 0.000 -1.938 3.357 0.000 0.000 0.000 3.770" Properties=species:S:1:pos:R:3 comment="InCoSi, relaxed, DFT PBE" sg=P-6m2 energy_ev_per_atom=-5.032 pbc="T T T"
In 0.000 0.000 0.000
Co 0.000 2.238 1.885
Si 1.938 1.119 1.885